Density functional theory data (GGA-PBE) for TiCrTePS after structural relaxation.

Lattice parameters (Å, degrees): 3.988 3.988 22.049 90.00 90.00 120.00
Fractional coordinates of all 15 atoms:
Ti: 0.667 0.333 0.347
Ti: 0.333 0.667 0.681
Ti: 0.000 0.000 0.014
P: 0.667 0.333 0.735
P: 0.000 0.000 0.401
P: 0.333 0.667 0.068
Te: 0.667 0.333 0.487
Te: 0.000 0.000 0.153
Te: 0.333 0.667 0.820
S: 0.667 0.333 0.971
S: 0.000 0.000 0.637
S: 0.333 0.667 0.304
Cr: 0.667 0.333 0.081
Cr: 0.333 0.667 0.414
Cr: 0.000 0.000 0.748

Properties
* space-group type: R3m (160)
* ΔE_f (raw): -0.562 eV per atom

---

Density functional theory data (GGA-PBE) for NaGa3Sn after structural relaxation.

Lattice parameters (Å, degrees): 5.490 5.490 5.490 90.00 90.00 90.00
Fractional coordinates of all 5 atoms:
Sn: 0.000 0.000 0.000
Ga: 0.500 0.000 0.000
Ga: 0.000 0.500 0.000
Ga: 0.000 0.000 0.500
Na: 0.500 0.500 0.500

Properties
* energy relative to the elements: 0.36 eV/atom
* space-group type: Pm-3m (221)

---

Density functional theory data (GGA-PBE) for PmThSb after structural relaxation.

Lattice parameters (Å, degrees): 4.928 4.167 10.044 90.00 90.00 90.00
Fractional coordinates of all 6 atoms:
Pm: 0.000 0.500 0.000
Pm: 0.000 0.500 0.500
Th: 0.500 0.500 0.750
Th: 0.500 0.500 0.250
Sb: 0.000 0.000 0.750
Sb: 0.000 0.000 0.250

Properties
* space-group type: Pmmm (47)
* ΔE_f (raw): -0.395 eV per atom